First-principles (GGA+U) data for crystalline TbAgW2O8 at its relaxed geometry, as listed in Alexandria via LeMat-Bulk.

Cell: 7.4346 7.4346 7.3226 Å, 65.77 65.77 94.45°
Last column: nearest neighbours and their distance in Å.
Fractional coordinates of all 24 atoms:
W  0.2123  0.2123  0.0282  3 O 1.82-1.88
W  0.7877  0.7877  0.9718  3 O 1.82-1.88
W  0.1631  0.8369  0.5000  4 O 1.81-1.95
W  0.8369  0.1631  0.5000  4 O 1.81-1.95
O  0.0213  0.0213  0.6592  3 W 2.07-2.21
O  0.8975  0.6473  0.7594  2 W 1.95-2.14
O  0.6473  0.8975  0.7594  2 W 1.95-2.14
O  0.3006  0.0425  0.9104  1 W 1.82
O  0.5548  0.5548  0.1394  1 W 1.88
O  0.0425  0.3006  0.9104  1 W 1.82
O  0.6876  0.2151  0.3514  1 W 1.81
O  0.1025  0.3527  0.2406  2 W 1.95-2.14
O  0.6994  0.9575  0.0896  1 W 1.82
O  0.9787  0.9787  0.3408  3 W 2.07-2.21
O  0.9575  0.6994  0.0896  1 W 1.82
O  0.2151  0.6876  0.3514  1 W 1.81
O  0.4452  0.4452  0.8606  1 W 1.88
O  0.7849  0.3124  0.6486  1 W 1.81
O  0.3124  0.7849  0.6486  1 W 1.81
O  0.3527  0.1025  0.2406  2 W 1.95-2.14
Tb  0.6991  0.3009  0.0000  8 O 2.34-2.60
Tb  0.3009  0.6991  0.0000  8 O 2.34-2.60
Ag  0.3136  0.3136  0.5172  2 O 2.33-2.47
Ag  0.6864  0.6864  0.4828  2 O 2.33-2.47

The calculation puts the total magnetization at 0.00 μB per atom. The calculation puts the calculated density at 7.877 Mg/m³. The space group is C2/m. The calculation puts the final energy at -7.261 eV/atom.